# Ca2SiO4F

Ca2SiO4F after structural relaxation (PBEsol, the Alexandria database).

- Density of states at the Fermi level: 0.68 states/eV per cell
- Magnetic moment: 1.002 μB per formula unit
- Uncorrected formation energy: -2.91 eV per atom
- E_tot: -7.03 eV/atom

Cell: 5.9130 10.5213 6.5580 Å, 90.00 99.31 90.00°
Closest atoms and distances in Å follow each position.
Space group P2_1/c (No. 14)
Inequivalent atoms, fractional coordinates:
Ca  0.1911  0.1895  0.1662 [4 per cell]  5 O 2.31-2.45, 2 F 2.33-2.45
Ca  0.2638  0.5846  0.0618 [4 per cell]  2 F 2.25-2.30, 3 O 2.34-2.43
Si  0.3344  0.6286  0.6135 [4 per cell]  4 O 1.62-1.68
O  0.1422  0.7122  0.7206 [4 per cell]  1 Si 1.68
O  0.1723  0.5835  0.3956 [4 per cell]  1 Si 1.66
O  0.4004  0.5040  0.7565 [4 per cell]  1 Si 1.62
O  0.4598  0.2230  0.9230 [4 per cell]  1 Si 1.62
F  0.1260  0.1135  0.5050 [4 per cell]  4 Ca 2.25-2.45